A geometry-optimized Tm2PuCd structure, computed with GGA-PBE.

Calculated values
The crystal system is trigonal. As for the total energy: -23.3 eV/f.u. The formation energy is 0.2150 eV per atom. For the volume, the calculation gives 28.65 Å³/atom. The magnetic moment comes out at 19.22 Bohr magnetons per cell. As for the mass density: 10.1 g cm⁻³.

a = 3.3685 Å, b = 3.3685 Å, c = 34.9916 Å
α = 90.00°, β = 90.00°, γ = 120.00°
Closest atoms and distances in Å follow each position.
Space group R-3m (No. 166, hexagonal axes)
Symmetry-distinct sites (fractional):
Tm (0.0000, 0.0000, 0.0936) x6  3 Cd 3.21, 1 Pu 3.28, 6 Tm 3.37
Pu (0.0000, 0.0000, 0.0000) x3  2 Tm 3.28, 6 Pu 3.37
Cd (0.0000, 0.0000, 0.5000) x3  6 Tm 3.21, 6 Cd 3.37